[1]
Here is a geometry-optimized CrCoOs2 structure from Alexandria. Energies are from PBEsol.

Cell and atoms, written as POSCAR:
```
CrCoOs2
1.0
-2.761 0.821 -2.367
-1.192 -3.529 0.167
-0.123 2.193 3.840
Os Co Cr
2 1 1
Direct
0.750 0.250 0.500
0.250 0.750 0.500
0.500 0.500 0.000
0.000 0.000 0.000
```

Results
Energy relative to the elements, eV/atom: 0.087
Energy above the most stable polymorph in this dataset, meV/atom: 25.6
SG: I4/mmm
Spin magnetization, μB per formula unit: 0.0

---

[2]
Here is a geometry-optimized CrCoOs2 structure from Alexandria. Energies are from PBEsol.

Cell and atoms, written as POSCAR:
```
CrCoOs2
1.0
4.159 0.000 0.000
2.079 3.601 0.000
2.079 1.200 3.395
Co Cr Os
1 1 2
Direct
0.500 0.500 0.500
0.250 0.250 0.250
0.000 0.000 0.000
0.750 0.750 0.750
```

Results
Energy relative to the elements, eV/atom: 0.447
Energy above the most stable polymorph in this dataset, meV/atom: 385.8
SG: F-43m
Spin magnetization, μB per formula unit: 0.7

---

[3]
Here is a geometry-optimized CrCoOs structure from Alexandria. Energies are from PBEsol.

Cell and atoms, written as POSCAR:
```
CrCoOs
1.0
-1.741 0.054 -1.869
0.444 -3.933 -0.527
-2.723 1.375 2.576
Os Co Cr
1 1 1
Direct
0.333 0.667 0.333
0.834 0.000 0.000
0.833 0.333 0.667
```

Results
Energy relative to the elements, eV/atom: 0.066
Energy above the most stable polymorph in this dataset, meV/atom: 0.0
SG: P-6m2
Spin magnetization, μB per formula unit: 0.0

---

[4]
Here is a geometry-optimized CrCoOs2 structure from Alexandria. Energies are from PBEsol.

Cell and atoms, written as POSCAR:
```
CrCoOs2
1.0
3.668 0.000 0.000
0.000 3.668 0.000
-1.834 -1.834 3.675
Os Co Cr
2 1 1
Direct
0.000 0.000 0.000
0.750 0.250 0.500
0.500 0.500 0.000
0.250 0.750 0.500
```

Results
Energy relative to the elements, eV/atom: 0.063
Energy above the most stable polymorph in this dataset, meV/atom: 1.8
SG: I-4m2
Spin magnetization, μB per formula unit: 0.0

---

[5]
Here is a geometry-optimized CrCo2OsW structure from Alexandria. Energies are from PBEsol.

Cell and atoms, written as POSCAR:
```
CrCo2OsW
1.0
-3.002 -2.171 -2.118
2.300 0.314 -3.582
2.024 -3.746 0.971
Co Os W Cr
2 1 1 1
Direct
0.000 0.500 0.000
0.500 0.000 0.000
0.500 0.500 0.500
0.000 0.000 0.000
0.000 0.000 0.500
```

Results
Energy relative to the elements, eV/atom: 2.141
SG: P4/mmm
Spin magnetization, μB per formula unit: 3.2

---

[6]
Here is a geometry-optimized CrCo2P structure from Alexandria. Energies are from PBEsol.

Cell and atoms, written as POSCAR:
```
CrCo2P
1.0
-1.937 1.519 0.701
-0.183 -1.565 2.885
3.206 3.195 1.937
Co Cr P
2 1 1
Direct
0.000 0.000 0.979
0.500 0.500 0.258
0.000 0.000 0.486
0.500 0.500 0.777
```

Results
Energy relative to the elements, eV/atom: -0.130
SG: Pmm2
Spin magnetization, μB per formula unit: 0.0

---

[7]
Here is a geometry-optimized Cr2CoP3 structure from Alexandria. Energies are from PBEsol.

Cell and atoms, written as POSCAR:
```
Cr2CoP3
1.0
3.059 0.000 0.000
0.000 5.200 -0.005
0.000 -0.020 17.461
Cr Co P
8 4 12
Direct
0.000 0.991 0.604
0.000 0.991 0.939
0.500 0.504 0.102
0.500 0.507 0.431
0.500 0.508 0.767
0.500 0.002 0.067
0.500 0.005 0.397
0.500 0.004 0.732
0.000 0.498 0.232
0.000 0.494 0.564
0.000 0.494 0.900
0.000 0.999 0.266
0.000 0.314 0.023
0.000 0.313 0.352
0.000 0.314 0.688
0.000 0.812 0.147
0.000 0.819 0.479
0.000 0.817 0.814
0.500 0.688 0.307
0.500 0.681 0.642
0.500 0.679 0.977
0.500 0.187 0.191
0.500 0.191 0.522
0.500 0.190 0.858
```

Results
Energy relative to the elements, eV/atom: -0.637
SG: Pm
Spin magnetization, μB per formula unit: 1.1

---

[8]
Here is a geometry-optimized CrCo2P structure from Alexandria. Energies are from PBEsol.

Cell and atoms, written as POSCAR:
```
CrCo2P
1.0
2.573 0.000 0.000
0.000 3.388 0.000
0.000 0.000 4.758
Co Cr P
2 1 1
Direct
0.000 0.000 0.750
0.000 0.000 0.250
0.500 0.500 0.000
0.500 0.500 0.500
```

Results
Energy relative to the elements, eV/atom: -0.175
SG: Pmmm
Spin magnetization, μB per formula unit: 0.0

---

Which of these has the lowest energy relative to the elements?
Cr2CoP3